{
  "formula": "Y2SiPbO",
  "functional": "GGA-PBE",
  "state": "relaxed",
  "lattice_angstrom": [[4.698, 0.000, 0.000], [0.000, 4.698, 0.000], [0.000, 0.000, 4.966]],
  "species": ["Y", "Y", "Si", "Pb", "O"],
  "fractional_positions": [[0.000, 0.500, 0.000], [0.500, 0.000, 0.000], [0.000, 0.000, 0.500], [0.500, 0.500, 0.500], [0.500, 0.500, 0.000]],
  "raw_formation_energy_mev_per_atom": -922,
  "total_energy_ev_per_atom": -6.33,
  "total_magnetization_mub_per_cell": 0.0
}